Entry 1:
# K3Sr3RhO8 PBE optimized geometry
data_K3Sr3RhO8
_cell_length_a 7.1687
_cell_length_b 7.1687
_cell_length_c 18.8328
_cell_angle_alpha 90.00
_cell_angle_beta 90.00
_cell_angle_gamma 120.00
_space_group_name_H-M_alt 'R -3 m'
_space_group_IT_number 166
_space_group_name_Hall '-R 3 2"'
loop_
_atom_site_label
_atom_site_fract_x
_atom_site_fract_y
_atom_site_fract_z
K1 0.0000 0.5000 0.0000
Sr1 0.0000 0.5000 0.5000
Rh1 0.0000 0.0000 0.5000
O1 0.0000 0.0000 0.2353
O2 0.0675 0.5337 0.2258
# - D(E_F) (states/eV/cell) = 45.103
# - VASP energy (eV per formula unit) = -80.224
# - magnetic moment (μB/f.u.) = 2.97

***

Entry 2:
# KTaRhO6 PBE optimized geometry
data_KTaRhO6
_cell_length_a 5.3046
_cell_length_b 5.3046
_cell_length_c 6.0243
_cell_angle_alpha 90.00
_cell_angle_beta 90.00
_cell_angle_gamma 120.00
_space_group_name_H-M_alt 'P 3'
_space_group_IT_number 143
loop_
_space_group_symop_operation_xyz
'x,y,z'
'-y,x-y,z'
'-x+y,-x,z'
loop_
_atom_site_label
_atom_site_fract_x
_atom_site_fract_y
_atom_site_fract_z
K1 0.0000 0.0000 0.0000
Ta1 0.3333 0.6667 0.4709
Rh1 0.6667 0.3333 0.5187
O1 0.3824 0.3727 0.3193
O2 0.3899 0.0017 0.6857
# - D(E_F) (states/eV/cell) = 2.116
# - VASP energy (eV per formula unit) = -63.940
# - magnetic moment (μB/f.u.) = 2.99

***

Entry 3:
# K3TaRh3O8 PBE optimized geometry
data_K3TaRh3O8
_cell_length_a 11.1869
_cell_length_b 6.2495
_cell_length_c 7.1753
_cell_angle_alpha 90.00
_cell_angle_beta 120.27
_cell_angle_gamma 90.00
_space_group_name_H-M_alt 'C 1 2/m 1'
_space_group_IT_number 12
loop_
_space_group_symop_operation_xyz
'x,y,z'
'-x,-y,-z'
'-x,y,-z'
'x,-y,z'
'x+1/2,y+1/2,z'
'-x+1/2,-y+1/2,-z'
'-x+1/2,y+1/2,-z'
'x+1/2,-y+1/2,z'
loop_
_atom_site_label
_atom_site_fract_x
_atom_site_fract_y
_atom_site_fract_z
K1 0.0000 0.0000 0.0000
K2 0.2500 0.2500 0.0000
Ta1 0.0000 0.0000 0.5000
Rh1 0.0000 0.5000 0.5000
Rh2 0.2500 0.2500 0.5000
O1 0.0124 0.2380 0.3189
O2 0.2109 0.0000 0.6720
O3 0.2158 0.5000 0.6575
# - D(E_F) (states/eV/cell) = 9.253
# - VASP energy (eV per formula unit) = -97.162
# - magnetic moment (μB/f.u.) = 1.03

***

Entry 4:
# K2TbRhO4 PBE optimized geometry
data_K2TbRhO4
_cell_length_a 5.5976
_cell_length_b 3.3947
_cell_length_c 6.5126
_cell_angle_alpha 90.00
_cell_angle_beta 108.13
_cell_angle_gamma 90.00
_space_group_name_H-M_alt 'P 1 2/m 1'
_space_group_IT_number 10
loop_
_space_group_symop_operation_xyz
'x,y,z'
'-x,-y,-z'
'-x,y,-z'
'x,-y,z'
loop_
_atom_site_label
_atom_site_fract_x
_atom_site_fract_y
_atom_site_fract_z
K1 0.0000 0.0000 0.0000
K2 0.5000 0.5000 0.0000
Tb1 0.0000 0.5000 0.5000
Rh1 0.5000 0.0000 0.5000
O1 0.2422 0.0000 0.6930
O2 0.2959 0.5000 0.3203
# - VASP energy (eV per formula unit) = -48.667
# - magnetic moment (μB/f.u.) = 0.00

***

Entry 5:
# K2Tb2RhO6 PBE optimized geometry
data_K2Tb2RhO6
_cell_length_a 5.8214
_cell_length_b 9.9822
_cell_length_c 6.5866
_cell_angle_alpha 90.00
_cell_angle_beta 105.15
_cell_angle_gamma 90.00
_space_group_name_H-M_alt 'C 1 2/m 1'
_space_group_IT_number 12
loop_
_space_group_symop_operation_xyz
'x,y,z'
'-x,-y,-z'
'-x,y,-z'
'x,-y,z'
'x+1/2,y+1/2,z'
'-x+1/2,-y+1/2,-z'
'-x+1/2,y+1/2,-z'
'x+1/2,-y+1/2,z'
loop_
_atom_site_label
_atom_site_fract_x
_atom_site_fract_y
_atom_site_fract_z
K1 0.0000 0.1593 0.0000
Tb1 0.0000 0.3354 0.5000
Rh1 0.0000 0.0000 0.5000
O1 0.2035 0.1557 0.6734
O2 0.2492 0.0000 0.3235
# - D(E_F) (states/eV/cell) = 15.661
# - VASP energy (eV per formula unit) = -72.270
# - magnetic moment (μB/f.u.) = 1.05

***

Entry 6:
# K3Tb2RhO6 PBE optimized geometry
data_K3Tb2RhO6
_cell_length_a 5.8558
_cell_length_b 10.1318
_cell_length_c 6.5162
_cell_angle_alpha 90.00
_cell_angle_beta 107.28
_cell_angle_gamma 90.00
_space_group_name_H-M_alt 'C 1 2/m 1'
_space_group_IT_number 12
loop_
_space_group_symop_operation_xyz
'x,y,z'
'-x,-y,-z'
'-x,y,-z'
'x,-y,z'
'x+1/2,y+1/2,z'
'-x+1/2,-y+1/2,-z'
'-x+1/2,y+1/2,-z'
'x+1/2,-y+1/2,z'
loop_
_atom_site_label
_atom_site_fract_x
_atom_site_fract_y
_atom_site_fract_z
K1 0.0000 0.0000 0.0000
K2 0.0000 0.3389 0.0000
Tb1 0.0000 0.1670 0.5000
Rh1 0.0000 0.5000 0.5000
O1 0.2214 0.3410 0.6875
O2 0.2435 0.0000 0.6863
# - D(E_F) (states/eV/cell) = 0.000
# - VASP energy (eV per formula unit) = -75.118
# - magnetic moment (μB/f.u.) = 0.00

***

Entry 7:
# KTcRh2O PBE optimized geometry
data_KTcRh2O
_cell_length_a 4.5797
_cell_length_b 4.5797
_cell_length_c 3.9059
_cell_angle_alpha 90.00
_cell_angle_beta 90.00
_cell_angle_gamma 90.00
_space_group_name_H-M_alt 'P 4/m m m'
_space_group_IT_number 123
_space_group_name_Hall '-P 4 2'
loop_
_atom_site_label
_atom_site_fract_x
_atom_site_fract_y
_atom_site_fract_z
K1 0.0000 0.0000 0.0000
Tc1 0.5000 0.5000 0.0000
Rh1 0.0000 0.5000 0.5000
O1 0.5000 0.5000 0.5000
# - D(E_F) (states/eV/cell) = 4.320
# - VASP energy (eV per formula unit) = -28.213
# - magnetic moment (μB/f.u.) = 1.72

***

Entry 8:
# K3TcRh3O8 PBE optimized geometry
data_K3TcRh3O8
_cell_length_a 6.3508
_cell_length_b 6.3508
_cell_length_c 18.0338
_cell_angle_alpha 90.00
_cell_angle_beta 90.00
_cell_angle_gamma 120.00
_space_group_name_H-M_alt 'R -3 m'
_space_group_IT_number 166
_space_group_name_Hall '-R 3 2"'
loop_
_atom_site_label
_atom_site_fract_x
_atom_site_fract_y
_atom_site_fract_z
K1 0.0000 0.5000 0.0000
Tc1 0.0000 0.0000 0.5000
Rh1 0.0000 0.5000 0.5000
O1 0.0000 0.0000 0.2221
O2 0.0058 0.5029 0.2227
# - VASP energy (eV per formula unit) = -91.960
# - magnetic moment (μB/f.u.) = 2.96

***

Entry 9:
# K2TeRhO6 PBE optimized geometry
data_K2TeRhO6
_cell_length_a 5.4749
_cell_length_b 5.4749
_cell_length_c 5.3400
_cell_angle_alpha 90.00
_cell_angle_beta 90.00
_cell_angle_gamma 90.00
_space_group_name_H-M_alt 'P 4 m m'
_space_group_IT_number 99
loop_
_space_group_symop_operation_xyz
'x,y,z'
'-y,x,z'
'-x,-y,z'
'y,-x,z'
'-x,y,z'
'y,x,z'
'x,-y,z'
'-y,-x,z'
loop_
_atom_site_label
_atom_site_fract_x
_atom_site_fract_y
_atom_site_fract_z
K1 0.0000 0.5000 0.0000
Te1 0.0000 0.0000 0.5150
Rh1 0.5000 0.5000 0.5114
O1 0.0000 0.0000 0.1670
O2 0.2523 0.2523 0.6116
O3 0.5000 0.5000 0.1723
# - D(E_F) (states/eV/cell) = 2.875
# - VASP energy (eV per formula unit) = -52.599
# - magnetic moment (μB/f.u.) = 1.38

***

Entry 10:
# KTe2RhO8 PBE optimized geometry
data_KTe2RhO8
_cell_length_a 5.2715
_cell_length_b 5.2715
_cell_length_c 8.6148
_cell_angle_alpha 90.00
_cell_angle_beta 90.00
_cell_angle_gamma 120.00
_space_group_name_H-M_alt 'P -3'
_space_group_IT_number 147
loop_
_space_group_symop_operation_xyz
'x,y,z'
'-x,-y,-z'
'-y,x-y,z'
'y,-x+y,-z'
'-x+y,-x,z'
'x-y,x,-z'
loop_
_atom_site_label
_atom_site_fract_x
_atom_site_fract_y
_atom_site_fract_z
K1 0.0000 0.0000 0.0000
Te1 0.3333 0.6667 0.6964
Rh1 0.0000 0.0000 0.5000
O1 0.0013 0.6937 0.3600
O2 0.3333 0.6667 0.9078
# - VASP energy (eV per formula unit) = -65.134
# - magnetic moment (μB/f.u.) = 0.00

***

Entry 11:
# K2ThRhO4 PBE optimized geometry
data_K2ThRhO4
_cell_length_a 5.8552
_cell_length_b 3.5032
_cell_length_c 6.8453
_cell_angle_alpha 90.00
_cell_angle_beta 111.63
_cell_angle_gamma 90.00
_space_group_name_H-M_alt 'P 1 2/m 1'
_space_group_IT_number 10
loop_
_space_group_symop_operation_xyz
'x,y,z'
'-x,-y,-z'
'-x,y,-z'
'x,-y,z'
loop_
_atom_site_label
_atom_site_fract_x
_atom_site_fract_y
_atom_site_fract_z
K1 0.0000 0.0000 0.0000
K2 0.5000 0.5000 0.0000
Th1 0.0000 0.5000 0.5000
Rh1 0.5000 0.0000 0.5000
O1 0.2005 0.0000 0.7173
O2 0.2899 0.5000 0.3275
# - VASP energy (eV per formula unit) = -52.077
# - magnetic moment (μB/f.u.) = 1.00

***

Entry 12:
# K2ThRh3O12 PBE optimized geometry
data_K2ThRh3O12
_cell_length_a 7.3934
_cell_length_b 7.3934
_cell_length_c 15.6333
_cell_angle_alpha 90.00
_cell_angle_beta 90.00
_cell_angle_gamma 120.00
_space_group_name_H-M_alt 'R -3 m'
_space_group_IT_number 166
_space_group_name_Hall '-R 3 2"'
loop_
_atom_site_label
_atom_site_fract_x
_atom_site_fract_y
_atom_site_fract_z
K1 0.0000 0.0000 0.0984
Th1 0.0000 0.0000 0.5000
Rh1 0.0000 0.5000 0.0000
O1 0.0521 0.5261 0.8828
O2 0.0841 0.5421 0.2980
# - D(E_F) (states/eV/cell) = 44.098
# - VASP energy (eV per formula unit) = -110.918
# - magnetic moment (μB/f.u.) = 4.53

***

Entry 13:
# KThRhO4 PBE optimized geometry
data_KThRhO4
_cell_length_a 6.7799
_cell_length_b 7.5298
_cell_length_c 8.8992
_cell_angle_alpha 90.00
_cell_angle_beta 90.00
_cell_angle_gamma 90.00
_space_group_name_H-M_alt 'I m m a'
_space_group_IT_number 74
_space_group_name_Hall '-I 2b 2'
loop_
_atom_site_label
_atom_site_fract_x
_atom_site_fract_y
_atom_site_fract_z
K1 0.0000 0.2500 0.1358
Th1 0.0000 0.0000 0.5000
Rh1 0.2500 0.2500 0.7500
O1 0.0000 0.0752 0.7555
O2 0.2013 0.2500 0.5117
# - VASP energy (eV per formula unit) = -50.143
# - magnetic moment (μB/f.u.) = 0.00

***

Entry 14:
# K4TiRh3O8 PBE optimized geometry
data_K4TiRh3O8
_cell_length_a 6.4505
_cell_length_b 6.4505
_cell_length_c 17.5919
_cell_angle_alpha 90.00
_cell_angle_beta 90.00
_cell_angle_gamma 120.00
_space_group_name_H-M_alt 'R -3 m'
_space_group_IT_number 166
_space_group_name_Hall '-R 3 2"'
loop_
_atom_site_label
_atom_site_fract_x
_atom_site_fract_y
_atom_site_fract_z
K1 0.0000 0.0000 0.0000
K2 0.0000 0.5000 0.0000
Ti1 0.0000 0.0000 0.5000
Rh1 0.0000 0.5000 0.5000
O1 0.0000 0.0000 0.2230
O2 0.0121 0.5061 0.2242
# - D(E_F) (states/eV/cell) = 16.190
# - VASP energy (eV per formula unit) = -95.535
# - magnetic moment (μB/f.u.) = 0.97

***

Entry 15:
# KTi2RhO6 PBE optimized geometry
data_KTi2RhO6
_cell_length_a 9.6091
_cell_length_b 10.0463
_cell_length_c 5.6370
_cell_angle_alpha 90.00
_cell_angle_beta 96.35
_cell_angle_gamma 90.00
_space_group_name_H-M_alt 'C 1 2/c 1'
_space_group_IT_number 15
loop_
_space_group_symop_operation_xyz
'x,y,z'
'-x,-y,-z'
'-x,y,-z+1/2'
'x,-y,z+1/2'
'x+1/2,y+1/2,z'
'-x+1/2,-y+1/2,-z'
'-x+1/2,y+1/2,-z+1/2'
'x+1/2,-y+1/2,z+1/2'
loop_
_atom_site_label
_atom_site_fract_x
_atom_site_fract_y
_atom_site_fract_z
K1 0.0000 0.0821 0.2500
Ti1 0.1821 0.4042 0.3024
Rh1 0.0000 0.2893 0.7500
O1 0.0940 0.2983 0.0872
O2 0.1367 0.1431 0.6720
O3 0.1486 0.4280 0.6419
# - VASP energy (eV per formula unit) = -75.432
# - magnetic moment (μB/f.u.) = 0.00

***

Entry 16:
# K2TiRh2O6 PBE optimized geometry
data_K2TiRh2O6
_cell_length_a 5.3386
_cell_length_b 9.3230
_cell_length_c 6.4518
_cell_angle_alpha 90.00
_cell_angle_beta 107.63
_cell_angle_gamma 90.00
_space_group_name_H-M_alt 'C 1 2/m 1'
_space_group_IT_number 12
loop_
_space_group_symop_operation_xyz
'x,y,z'
'-x,-y,-z'
'-x,y,-z'
'x,-y,z'
'x+1/2,y+1/2,z'
'-x+1/2,-y+1/2,-z'
'-x+1/2,y+1/2,-z'
'x+1/2,-y+1/2,z'
loop_
_atom_site_label
_atom_site_fract_x
_atom_site_fract_y
_atom_site_fract_z
K1 0.0000 0.1706 0.0000
Ti1 0.0000 0.0000 0.5000
Rh1 0.0000 0.3339 0.5000
O1 0.2214 0.1620 0.6685
O2 0.2390 0.5000 0.6692
# - VASP energy (eV per formula unit) = -72.230
# - magnetic moment (μB/f.u.) = 0.00

***

Entry 17:
# K3TiRh3O8 PBE optimized geometry
data_K3TiRh3O8
_cell_length_a 6.2508
_cell_length_b 6.2508
_cell_length_c 18.3094
_cell_angle_alpha 90.00
_cell_angle_beta 90.00
_cell_angle_gamma 120.00
_space_group_name_H-M_alt 'R -3 m'
_space_group_IT_number 166
_space_group_name_Hall '-R 3 2"'
loop_
_atom_site_label
_atom_site_fract_x
_atom_site_fract_y
_atom_site_fract_z
K1 0.0000 0.5000 0.0000
Ti1 0.0000 0.0000 0.5000
Rh1 0.0000 0.5000 0.5000
O1 0.0000 0.0000 0.2221
O2 0.0143 0.5071 0.2234
# - VASP energy (eV per formula unit) = -94.431
# - magnetic moment (μB/f.u.) = 0.00

***

Entry 18:
# KTl2Rh3O8 PBE optimized geometry
data_KTl2Rh3O8
_cell_length_a 6.3708
_cell_length_b 6.3708
_cell_length_c 17.6857
_cell_angle_alpha 90.00
_cell_angle_beta 90.00
_cell_angle_gamma 120.00
_space_group_name_H-M_alt 'R 3 m'
_space_group_IT_number 160
_space_group_name_Hall 'R 3 -2"'
loop_
_atom_site_label
_atom_site_fract_x
_atom_site_fract_y
_atom_site_fract_z
K1 0.0000 0.0000 0.0000
Tl1 0.0000 0.0000 0.2570
Tl2 0.0000 0.0000 0.6371
Rh1 0.1689 0.3378 0.4684
O1 0.0000 0.0000 0.4150
O2 0.0000 0.0000 0.8568
O3 0.0428 0.5214 0.4091
O4 0.1891 0.3783 0.1973
# - D(E_F) (states/eV/cell) = 26.550
# - VASP energy (eV per formula unit) = -78.945
# - magnetic moment (μB/f.u.) = 0.00

***

Entry 19:
# K2TlRh3O8 PBE optimized geometry
data_K2TlRh3O8
_cell_length_a 6.4140
_cell_length_b 6.4140
_cell_length_c 19.0817
_cell_angle_alpha 90.00
_cell_angle_beta 90.00
_cell_angle_gamma 120.00
_space_group_name_H-M_alt 'R 3 m'
_space_group_IT_number 160
_space_group_name_Hall 'R 3 -2"'
loop_
_atom_site_label
_atom_site_fract_x
_atom_site_fract_y
_atom_site_fract_z
K1 0.0000 0.0000 0.0000
K2 0.0000 0.0000 0.3474
Tl1 0.0000 0.0000 0.8239
Rh1 0.0006 0.5003 0.8528
O1 0.0000 0.0000 0.1359
O2 0.0000 0.0000 0.5670
O3 0.0466 0.5233 0.1277
O4 0.1780 0.3560 0.9031
# - D(E_F) (states/eV/cell) = 26.024
# - VASP energy (eV per formula unit) = -79.352
# - magnetic moment (μB/f.u.) = 0.92

***

Entry 20:
# K2TlRhO4 PBE optimized geometry
data_K2TlRhO4
_cell_length_a 6.3262
_cell_length_b 6.3262
_cell_length_c 7.0842
_cell_angle_alpha 90.00
_cell_angle_beta 90.00
_cell_angle_gamma 90.00
_space_group_name_H-M_alt 'I -4'
_space_group_IT_number 82
loop_
_space_group_symop_operation_xyz
'x,y,z'
'y,-x,-z'
'-x,-y,z'
'-y,x,-z'
'x+1/2,y+1/2,z+1/2'
'y+1/2,-x+1/2,-z+1/2'
'-x+1/2,-y+1/2,z+1/2'
'-y+1/2,x+1/2,-z+1/2'
loop_
_atom_site_label
_atom_site_fract_x
_atom_site_fract_y
_atom_site_fract_z
K1 0.0000 0.0000 0.0000
K2 0.0000 0.5000 0.2500
Tl1 0.0000 0.0000 0.5000
Rh1 0.0000 0.5000 0.7500
O1 0.1657 0.7516 0.6953
# - D(E_F) (states/eV/cell) = 2.216
# - VASP energy (eV per formula unit) = -39.038
# - magnetic moment (μB/f.u.) = 2.19